ErNi6B3: optimized geometry, GGA-PBE.

As for the formation energy: -0.31 eV/atom. As for the magnetic moment: 0.0 μB/f.u. The electronic total energy is -6.24 eV per atom.

It has space group R3 (No. 146, hexagonal axes), with a = 4.9259 Å, b = 4.9259 Å, c = 15.3561 Å, α = 90.00°, β = 90.00° and γ = 120.00°. The asymmetric unit holds Er at (0.0000, 0.0000, 0.0000), Ni at (0.0004, 0.5064, 0.9255), Ni at (0.0006, 0.4508, 0.1192), B at (0.0000, 0.0000, 0.1624), B at (0.0000, 0.0000, 0.3578) and B at (0.0000, 0.0000, 0.6915).